<w>
Density functional theory data (PBE) for a geometry-optimized TbSmMg3 structure.

As for the space group: No. 74. As for the density: 4.7 g/cm3.

a b c (Å): 5.216 11.478 11.478
angles (deg): 54.95 76.87 76.87
Fractional positions:
Tb  0.750  0.874  0.126
Mg  0.848  0.027  0.778
Tb  0.250  0.126  0.874
Mg  0.442  0.450  0.166
Mg  0.652  0.222  0.973
Mg  0.558  0.550  0.834
Sm  0.552  0.074  0.322
Mg  0.641  0.723  0.494
Tb  0.250  0.630  0.370
Mg  0.348  0.778  0.027
Mg  0.359  0.277  0.506
Sm  0.448  0.926  0.678
Mg  0.152  0.973  0.222
Mg  0.942  0.166  0.450
Tb  0.750  0.370  0.630
Mg  0.141  0.494  0.723
Sm  0.948  0.678  0.926
Sm  0.052  0.322  0.074
Mg  0.058  0.834  0.550
Mg  0.859  0.506  0.277

<x>
Density functional theory data (PBE) for a geometry-optimized TbSmMg3 structure.

As for the space group: No. 166. As for the density: 4.5 g/cm3.

a b c (Å): 9.048 9.048 9.048
angles (deg): 40.37 40.37 40.37
Site moments in Bohr magnetons follow the coordinates.
Fractional positions:
Mg  0.878  0.878  0.389  0.00
Tb  0.165  0.165  0.165  0.12
Tb  0.835  0.835  0.835  0.12
Sm  0.432  0.432  0.432  0.09
Mg  0.389  0.878  0.878  0.00
Mg  0.611  0.122  0.122  0.00
Sm  0.568  0.568  0.568  0.09
Mg  0.122  0.122  0.611  0.00
Mg  0.878  0.389  0.878  0.00
Mg  0.122  0.611  0.122  0.00

Most stable pick: <w>. Distance to second place: 0.057 eV/atom.